# 1
MnTl2Sb, relaxed, DFT GGA-PBE; spin magnetization = 4.15 μB per formula unit; distance to the lowest polymorph of the same formula = 0.89 eV per formula unit; calculated volume = 24.9 A^3/atom; uncorrected formation energy = 151 kJ/mol of formula units; Fermi-level density of states = 2.33 states/eV/f.u.
1.0
3.3506 0.0000 0.0000
0.0000 3.3506 0.0000
0.0000 0.0000 8.8867
Mn Tl Sb
1 2 1
direct
0.0000 0.0000 0.0000
0.5000 0.5000 0.2099
0.5000 0.5000 0.7901
0.0000 0.0000 0.5000

=====

# 2
ErPuCuOs, relaxed, DFT GGA-PBE; spin magnetization = 5.50 μB per formula unit; calculated volume = 19.9 A^3/atom; Fermi-level density of states = 9.15 states/eV/f.u.; energy of formation = -0.10 eV/atom
1.0
0.0000 3.4121 3.4121
3.4121 0.0000 3.4121
3.4121 3.4121 0.0000
Er Pu Cu Os
1 1 1 1
direct
0.0000 0.0000 0.0000
0.5000 0.5000 0.5000
0.2500 0.2500 0.2500
0.7500 0.7500 0.7500

=====

# 3
Ho4SnRh2, relaxed, DFT GGA-PBE; spin magnetization = 0.00 μB per formula unit; calculated volume = 24.5 A^3/atom; Fermi-level density of states = 3.41 states/eV/f.u.; energy of formation = -0.72 eV/atom
1.0
6.8507 0.0000 0.0000
-1.7370 6.7961 0.0000
-2.5503 -3.3990 7.3588
Ho Sn Rh
8 2 4
direct
0.0000 0.0000 0.0000
0.0449 0.7203 0.5834
0.3090 0.1170 0.4474
0.3815 0.5583 0.2595
0.4573 0.5757 0.8425
0.5363 0.1550 0.0014
0.7827 0.0896 0.3953
0.9211 0.4209 0.8421
0.6038 0.8983 0.6560
0.8701 0.6638 0.1869
0.0055 0.3441 0.2727
0.1502 0.1666 0.7581
0.3127 0.8298 0.0850
0.6551 0.4933 0.5697

=====

# 4
HoMg8Co2, relaxed, DFT GGA-PBE; spin magnetization = 0.00 μB per formula unit; calculated volume = 21.4 A^3/atom; Fermi-level density of states = 8.85 states/eV/f.u.; energy of formation = 0.16 eV/atom
1.0
3.9545 -5.9849 0.0000
3.9545 5.9849 0.0000
-1.2239 0.0000 4.9756
Ho Mg Co
1 8 2
direct
0.0000 0.0000 0.0000
0.0675 0.3321 0.5766
0.2683 0.7317 0.0000
0.3321 0.0675 0.5766
0.4177 0.4177 0.2275
0.5823 0.5823 0.7725
0.6679 0.9325 0.4234
0.7317 0.2683 0.0000
0.9325 0.6679 0.4234
0.3090 0.6910 0.5000
0.6910 0.3090 0.5000

=====

# 5
NaZn2Ir2, relaxed, DFT GGA-PBE; spin magnetization = 0.00 μB per formula unit; distance to the lowest polymorph of the same formula = 0.00 eV per formula unit; calculated volume = 16.2 A^3/atom; Fermi-level density of states = 2.97 states/eV/f.u.; energy of formation = -0.03 eV/atom
1.0
7.7318 0.0000 0.0000
0.0000 7.7318 0.0000
0.0000 0.0000 2.7067
Na Zn Ir
2 4 4
direct
0.0000 0.0000 0.0000
0.5000 0.5000 0.0000
0.1712 0.3288 0.5000
0.3288 0.8288 0.5000
0.6712 0.1712 0.5000
0.8288 0.6712 0.5000
0.1245 0.6245 0.0000
0.3755 0.1245 0.0000
0.6245 0.8755 0.0000
0.8755 0.3755 0.0000

=====

# 6
Pr6Y5Tm2, relaxed, DFT GGA-PBE; spin magnetization = 0.00 μB per formula unit; calculated volume = 34.3 A^3/atom; Fermi-level density of states = 16.02 states/eV/f.u.; energy of formation = 0.10 eV/atom
1.0
11.7319 0.0000 0.0000
0.0000 20.8383 0.0000
0.0000 0.0000 3.6489
Pr Y Tm
12 10 4
direct
0.0635 0.0803 0.0000
0.0841 0.3668 0.0000
0.1701 0.6374 0.5000
0.3299 0.1374 0.5000
0.4159 0.8668 0.0000
0.4365 0.5803 0.0000
0.5635 0.4197 0.0000
0.5841 0.1332 0.0000
0.6701 0.8626 0.5000
0.8299 0.3626 0.5000
0.9159 0.6332 0.0000
0.9365 0.9197 0.0000
0.0000 0.5000 0.5000
0.0928 0.2270 0.5000
0.1967 0.9426 0.5000
0.3033 0.4426 0.5000
0.4072 0.7270 0.5000
0.5000 0.0000 0.5000
0.5928 0.2730 0.5000
0.6967 0.5574 0.5000
0.8033 0.0574 0.5000
0.9072 0.7730 0.5000
0.1652 0.7906 0.0000
0.3348 0.2906 0.0000
0.6652 0.7094 0.0000
0.8348 0.2094 0.0000

=====

# 7
SmPRh2, relaxed, DFT GGA-PBE; spin magnetization = 0.00 μB per formula unit; calculated volume = 19.9 A^3/atom; Fermi-level density of states = 2.00 states/eV/f.u.; energy of formation = -0.76 eV/atom
1.0
2.7784 -3.6298 0.0000
2.7784 3.6298 0.0000
0.0000 0.0000 3.9532
Sm P Rh
1 1 2
direct
0.0000 0.0000 0.0000
0.5000 0.5000 0.5000
0.0000 0.5000 0.5000
0.5000 0.0000 0.5000

=====

# 8
Te2MoAu, relaxed, DFT GGA-PBE; spin magnetization = 1.92 μB per formula unit; distance to the lowest polymorph of the same formula = 1.51 eV per formula unit; calculated volume = 21.7 A^3/atom; uncorrected formation energy = 184 kJ/mol of formula units; Fermi-level density of states = 2.73 states/eV/f.u.
1.0
0.0000 3.5129 3.5129
3.5129 0.0000 3.5129
3.5129 3.5129 0.0000
Te Mo Au
2 1 1
direct
0.2500 0.2500 0.2500
0.7500 0.7500 0.7500
0.0000 0.0000 0.0000
0.5000 0.5000 0.5000

=====

# 9
TlOsPt, relaxed, DFT GGA-PBE; spin magnetization = 2.34 μB per formula unit; distance to the lowest polymorph of the same formula = 0.74 eV per formula unit; calculated volume = 20.7 A^3/atom; Fermi-level density of states = 3.04 states/eV/f.u.; energy of formation = 0.89 eV/atom
1.0
0.0000 3.1425 3.1425
3.1425 0.0000 3.1425
3.1425 3.1425 0.0000
Tl Os Pt
1 1 1
direct
0.0000 0.0000 0.0000
0.5000 0.5000 0.5000
0.2500 0.2500 0.2500

=====

# 10
Ba2GaS3, relaxed, DFT GGA-PBE; spin magnetization = 0.00 μB per formula unit; calculated volume = 29.2 A^3/atom; uncorrected formation energy = -842 kJ/mol of formula units; Fermi-level density of states = 2.10 states/eV/f.u.
1.0
-2.1692 2.4290 8.3052
2.1692 -2.4290 8.3052
2.1692 2.4290 -8.3052
Ba Ga S
2 1 3
direct
0.1489 0.1489 0.0000
0.8511 0.8511 0.0000
0.5000 0.5000 0.0000
0.0000 0.5000 0.5000
0.3402 0.3402 0.0000
0.6598 0.6598 0.0000

=====

# 11
LiAsAuC2, relaxed, DFT GGA-PBE; spin magnetization = 0.00 μB per formula unit; calculated volume = 16.1 A^3/atom; Fermi-level density of states = 2.44 states/eV/f.u.; energy of formation = 1.71 eV/atom
1.0
3.9333 0.0000 0.0000
0.0000 3.9333 0.0000
0.0000 0.0000 5.2001
Li As Au C
1 1 1 2
direct
0.0000 0.0000 0.0000
0.5000 0.5000 0.5000
0.5000 0.5000 0.0000
0.0000 0.5000 0.5000
0.5000 0.0000 0.5000

=====

# 12
NaPmPb, relaxed, DFT GGA-PBE; spin magnetization = 0.00 μB per formula unit; distance to the lowest polymorph of the same formula = 0.52 eV per formula unit; calculated volume = 34.4 A^3/atom; energy of formation = -0.23 eV/atom
1.0
0.0000 3.7225 3.7225
3.7225 0.0000 3.7225
3.7225 3.7225 0.0000
Na Pm Pb
1 1 1
direct
0.0000 0.0000 0.0000
0.5000 0.5000 0.5000
0.7500 0.7500 0.7500